No. 1
Here is crystalline MoPbClO4 at its relaxed geometry from Alexandria via LeMat-Bulk. Energies are from PBE with a Hubbard U.

Geometry as CIF:
```
data_MoPbClO4
_space_group_name_H-M_alt 'P 1'
_space_group_IT_number 1
_cell_length_a 6.4749
_cell_length_b 6.4749
_cell_length_c 7.4729
_cell_angle_alpha 70.59
_cell_angle_beta 70.59
_cell_angle_gamma 72.40
loop_
_space_group_symop_operation_xyz
'x,y,z'
loop_
_atom_site_label
_atom_site_fract_x
_atom_site_fract_y
_atom_site_fract_z
Mo1 0.6301 0.6301 0.7598
Mo2 0.3699 0.3699 0.2402
Pb1 0.2321 0.2321 0.8219
Pb2 0.7679 0.7679 0.1781
Cl1 0.0148 0.0148 0.2142
Cl2 0.9852 0.9852 0.7858
O1 0.3596 0.3596 0.4849
O2 0.6404 0.6404 0.5151
O3 0.0852 0.4695 0.2255
O4 0.5690 0.5690 0.1005
O5 0.5305 0.9148 0.7745
O6 0.4695 0.0852 0.2255
O7 0.4310 0.4310 0.8995
O8 0.9148 0.5305 0.7745
```

Space group ... C2/m, No. 12

=====

No. 2
Here is crystalline MoPb2ClO4 at its relaxed geometry from Alexandria via LeMat-Bulk. Energies are from PBE with a Hubbard U.

Geometry as CIF:
```
data_MoPb2ClO4
_space_group_name_H-M_alt 'P 1'
_space_group_IT_number 1
_cell_length_a 3.3698
_cell_length_b 5.4539
_cell_length_c 9.0902
_cell_angle_alpha 83.58
_cell_angle_beta 79.32
_cell_angle_gamma 72.00
loop_
_space_group_symop_operation_xyz
'x,y,z'
loop_
_atom_site_label
_atom_site_fract_x
_atom_site_fract_y
_atom_site_fract_z
Mo1 0.0000 0.0000 0.0000
Pb1 0.8295 0.5684 0.7726
Pb2 0.1705 0.4316 0.2274
Cl1 0.5000 0.5000 0.5000
O1 0.1546 0.8906 0.8002
O2 0.3992 0.2446 0.9570
O3 0.8454 0.1094 0.1998
O4 0.6008 0.7554 0.0430
```

Space group ... C2/m, No. 12

=====

No. 3
Here is crystalline Rb2MoCl4O2 at its relaxed geometry from Alexandria via LeMat-Bulk. Energies are from PBE with a Hubbard U.

Geometry as CIF:
```
data_Rb2MoCl4O2
_space_group_name_H-M_alt 'P 1'
_space_group_IT_number 1
_cell_length_a 7.0501
_cell_length_b 7.1514
_cell_length_c 7.1514
_cell_angle_alpha 58.58
_cell_angle_beta 59.94
_cell_angle_gamma 59.94
loop_
_space_group_symop_operation_xyz
'x,y,z'
loop_
_atom_site_label
_atom_site_fract_x
_atom_site_fract_y
_atom_site_fract_z
Rb1 0.2072 0.7503 0.7503
Rb2 0.7928 0.2497 0.2497
Mo1 0.5000 0.0000 0.0000
Cl1 0.2970 0.7199 0.2093
Cl2 0.7030 0.7907 0.2801
Cl3 0.7030 0.2801 0.7907
Cl4 0.2970 0.2093 0.7199
O1 0.2648 0.1725 0.1725
O2 0.7352 0.8275 0.8275
```

Space group ... C2/m, No. 12

=====

| no. | spin magnetization (μB/f.u.) | E_tot (eV for the cell shown) |
| --- | --- | --- |
| 1 | 0.0 | -82.16 |
| 2 | 1.0 | -46.47 |
| 3 | 0.1 | -38.75 |